A plane-wave DFT calculation with PBE was carried out for a relaxed structure of Pr2Sn2Hg.

Unit cell a=11.9299 b=4.8410 c=11.2360 alpha=90.00 beta=116.40 gamma=90.00
Space group C2/m (No. 12)
Symmetry-distinct sites (fractional):
Pr (0.0701, 0.0000, 0.3582) [4 per cell]
Pr (0.1744, 0.0000, 0.0627) [4 per cell]
Sn (0.0011, 0.5000, 0.8669) [4 per cell]
Sn (0.1354, 0.5000, 0.5759) [4 per cell]
Hg (0.2191, 0.0000, 0.7416) [4 per cell]

Results
total energy	-4.210	eV/atom
ΔE_f	-0.6371	eV/atom
crystal system	monoclinic
energy above the most stable polymorph in this dataset	0.000	eV per atom


A plane-wave DFT calculation with PBE was carried out for a relaxed structure of LiMoPt2.

Unit cell a=6.2196 b=6.2196 c=6.2196 alpha=90.00 beta=90.00 gamma=90.00
Space group Fm-3m (No. 225)
Symmetry-distinct sites (fractional):
Li (0.0000, 0.0000, 0.0000) [4 per cell]
Mo (0.0000, 0.0000, 0.5000) [4 per cell]
Pt (0.2500, 0.2500, 0.2500) [8 per cell]

Results
total energy	-6.412	eV/atom
ΔE_f	-0.2056	eV/atom
crystal system	cubic
energy above the most stable polymorph in this dataset	0.240	eV per atom


A plane-wave DFT calculation with PBE was carried out for a relaxed structure of SrSc2Be.

Unit cell a=3.2710 b=4.5228 c=14.5135 alpha=90.00 beta=90.00 gamma=90.00
Space group Imm2 (No. 44)
Symmetry-distinct sites (fractional):
Sr (0.0000, 0.0000, 0.0000) [2 per cell]
Sc (0.0000, 0.0000, 0.6716) [2 per cell]
Sc (0.0000, 0.5000, 0.8073) [2 per cell]
Be (0.0000, 0.5000, 0.3112) [2 per cell]

Results
total energy	-4.155	eV/atom
ΔE_f	0.3628	eV/atom
crystal system	orthorhombic


A plane-wave DFT calculation with PBE was carried out for a relaxed structure of Pr2Nd3Tm2.

Unit cell a=17.8628 b=3.5546 c=8.6642 alpha=90.00 beta=118.98 gamma=90.00
Space group C2/m (No. 12)
Symmetry-distinct sites (fractional):
Pr (0.0653, 0.0000, 0.4128) [4 per cell]
Nd (0.0000, 0.5000, 0.0000) [2 per cell]
Nd (0.2130, 0.5000, 0.2937) [4 per cell]
Tm (0.1485, 0.5000, 0.8341) [4 per cell]

Results
total energy	-4.566	eV/atom
ΔE_f	0.1203	eV/atom
crystal system	monoclinic
energy above the most stable polymorph in this dataset	0.107	eV per atom


A plane-wave DFT calculation with PBE was carried out for a relaxed structure of Rb2TlCuBr6.

Unit cell a=7.7562 b=7.4521 c=13.9040 alpha=90.00 beta=123.83 gamma=90.00
Space group P2_1/c (No. 14)
Symmetry-distinct sites (fractional):
Rb (0.2497, 0.0013, 0.2493) [4 per cell]
Tl (0.5000, 0.0000, 0.0000) [2 per cell]
Cu (0.0000, 0.0000, 0.5000) [2 per cell]
Br (0.1728, 0.2289, 0.9987) [4 per cell]
Br (0.2558, 0.0002, 0.7530) [4 per cell]
Br (0.2840, 0.6940, 0.9990) [4 per cell]

Results
total energy	-2.814	eV/atom
crystal system	monoclinic
energy above the most stable polymorph in this dataset	0.000	eV per atom
energy relative to the elements, uncorrected	-0.971	eV per atom


A plane-wave DFT calculation with PBE was carried out for a relaxed structure of Zr2Cd4Hg.

Unit cell a=13.9144 b=13.9144 c=13.9144 alpha=90.00 beta=90.00 gamma=90.00
Space group Fd-3m (No. 227, origin choice 2)
Symmetry-distinct sites (fractional):
Zr (0.0437, 0.0437, 0.2063) [32 per cell]
Cd (0.0000, 0.0000, 0.0000) [16 per cell]
Cd (0.1053, 0.3750, 0.8750) [48 per cell]
Hg (0.0000, 0.0000, 0.5000) [16 per cell]

Results
total energy	-2.970	eV/atom
ΔE_f	0.0384	eV/atom
crystal system	cubic
energy above the most stable polymorph in this dataset	0.000	eV per atom